Entry 1:
The following is a DFT calculation (PBE-GGA) of a relaxed CePrRh crystal. Values from VASP.

Summary:
- Space group: No. 216
- Mass density: 7.552 g/cm³
- DOS at the Fermi energy: 8.17 states/eV/f.u.
- ΔE_f: -0.3449 eV/atom
- E_tot: -6.37 eV per atom

Structure (Quantum ESPRESSO input):
```
&SYSTEM
  ibrav = 0, nat = 3, ntyp = 3
/
ATOMIC_SPECIES
Rh 102.91 Rh.upf
Pr 140.91 Pr.upf
Ce 140.12 Ce.upf
CELL_PARAMETERS angstrom
4.924 0.000 0.000
2.462 4.264 0.000
2.462 1.421 4.020
ATOMIC_POSITIONS crystal
Rh 0.250 0.250 0.250
Pr 0.000 0.000 0.000
Ce 0.500 0.500 0.500
```



Entry 2:
The following is a DFT calculation (PBE-GGA) of a relaxed La2PbCl crystal. Values from VASP.

Summary:
- Space group: No. 35
- Raw formation energy: -0.6216 eV per atom
- Mass density: 6.170 g/cm³
- DOS at the Fermi energy: 4.48 states/eV/f.u.
- E_tot: -4.47 eV per atom

Structure (Quantum ESPRESSO input):
```
&SYSTEM
  ibrav = 0, nat = 4, ntyp = 3
/
ATOMIC_SPECIES
La 138.91 La.upf
Cl 35.45 Cl.upf
Pb 207.20 Pb.upf
CELL_PARAMETERS angstrom
-0.436 3.457 -1.204
0.937 -2.598 -2.441
-11.326 -2.146 -2.064
ATOMIC_POSITIONS crystal
La 0.000 0.000 0.986
La 0.500 0.500 0.224
Cl 0.500 0.500 0.811
Pb 0.000 0.000 0.479
```



Entry 3:
The following is a DFT calculation (PBE-GGA) of a relaxed CuPtCl6 crystal. Values from VASP.

Summary:
- Space group: No. 2
- Raw formation energy: -0.3437 eV per atom
- Mass density: 4.476 g/cm³
- DOS at the Fermi energy: 7.81 states/eV/f.u.
- E_tot: -3.00 eV per atom

Structure (Quantum ESPRESSO input):
```
&SYSTEM
  ibrav = 0, nat = 8, ntyp = 3
/
ATOMIC_SPECIES
Cl 35.45 Cl.upf
Cu 63.55 Cu.upf
Pt 195.08 Pt.upf
CELL_PARAMETERS angstrom
6.079 0.009 0.010
3.034 5.275 0.015
3.035 1.759 5.466
ATOMIC_POSITIONS crystal
Cl 0.759 0.093 0.751
Cl 0.907 0.603 0.249
Cl 0.241 0.907 0.249
Cl 0.397 0.759 0.752
Cl 0.093 0.397 0.751
Cl 0.603 0.241 0.248
Cu 0.500 0.500 0.500
Pt 0.000 0.000 0.000
```



Entry 4:
The following is a DFT calculation (PBE-GGA) of a relaxed Pm2PuBi crystal. Values from VASP.

Summary:
- Space group: No. 166
- Mass density: 9.752 g/cm³
- DOS at the Fermi energy: 10.59 states/eV/f.u.
- ΔE_f: -0.0952 eV/atom
- E_tot: -7.02 eV per atom

Structure (Quantum ESPRESSO input):
```
&SYSTEM
  ibrav = 0, nat = 4, ntyp = 3
/
ATOMIC_SPECIES
Bi 208.98 Bi.upf
Pm 145.00 Pm.upf
Pu 244.00 Pu.upf
CELL_PARAMETERS angstrom
-1.256 0.082 -3.403
-3.503 -0.678 -0.658
-3.884 10.601 -0.246
ATOMIC_POSITIONS crystal
Bi 0.000 0.000 0.000
Pm 0.251 0.251 0.246
Pm 0.749 0.749 0.754
Pu 0.500 0.500 0.500
```



Entry 5:
The following is a DFT calculation (PBE-GGA) of a relaxed TbTcAs2 crystal. Values from VASP.

Summary:
- Space group: No. 123
- Mass density: 9.404 g/cm³
- DOS at the Fermi energy: 2.65 states/eV/f.u.
- ΔE_f: -0.4370 eV/atom
- E_tot: -6.51 eV per atom

Structure (Quantum ESPRESSO input):
```
&SYSTEM
  ibrav = 0, nat = 4, ntyp = 3
/
ATOMIC_SPECIES
As 74.92 As.upf
Tb 158.93 Tb.upf
Tc 98.00 Tc.upf
CELL_PARAMETERS angstrom
3.190 0.000 0.000
0.000 3.190 0.000
0.000 0.000 7.058
ATOMIC_POSITIONS crystal
As 0.000 0.000 0.790
As 0.000 0.000 0.210
Tb 0.500 0.500 0.500
Tc 0.500 0.500 0.000
```



Entry 6:
The following is a DFT calculation (PBE-GGA) of a relaxed Li3YNi crystal. Values from VASP.

Summary:
- Space group: No. 221
- Mass density: 2.069 g/cm³
- DOS at the Fermi energy: 9.59 states/eV/f.u.
- ΔE_f: 1.5636 eV/atom
- E_tot: -2.03 eV per atom

Structure (Quantum ESPRESSO input):
```
&SYSTEM
  ibrav = 0, nat = 5, ntyp = 3
/
ATOMIC_SPECIES
Y 88.91 Y.upf
Ni 58.69 Ni.upf
Li 6.94 Li.upf
CELL_PARAMETERS angstrom
5.132 0.000 0.000
0.000 5.132 0.000
0.000 0.000 5.132
ATOMIC_POSITIONS crystal
Y 0.000 0.000 0.000
Ni 0.500 0.500 0.500
Li 0.000 0.000 0.500
Li 0.500 0.000 0.000
Li 0.000 0.500 0.000
```



Entry 7:
The following is a DFT calculation (PBE-GGA) of a relaxed HoMgSe crystal. Values from VASP.

Summary:
- Space group: No. 194
- Raw formation energy: -0.4727 eV per atom
- Mass density: 5.696 g/cm³
- DOS at the Fermi energy: 2.50 states/eV/f.u.
- E_tot: -3.69 eV per atom

Structure (Quantum ESPRESSO input):
```
&SYSTEM
  ibrav = 0, nat = 12, ntyp = 3
/
ATOMIC_SPECIES
Ho 164.93 Ho.upf
Mg 24.30 Mg.upf
Se 78.96 Se.upf
CELL_PARAMETERS angstrom
4.755 0.000 0.000
-2.377 4.118 0.000
0.000 0.000 15.975
ATOMIC_POSITIONS crystal
Ho 0.333 0.667 0.078
Ho 0.667 0.333 0.578
Ho 0.667 0.333 0.922
Ho 0.333 0.667 0.422
Mg 0.000 0.000 0.750
Mg 0.667 0.333 0.250
Mg 0.333 0.667 0.750
Mg 0.000 0.000 0.250
Se 0.000 0.000 0.000
Se 0.667 0.333 0.750
Se 0.000 0.000 0.500
Se 0.333 0.667 0.250
```



Entry 8:
The following is a DFT calculation (PBE-GGA) of a relaxed Hf2VTc crystal. Values from VASP.

Summary:
- Space group: No. 71
- Mass density: 11.166 g/cm³
- DOS at the Fermi energy: 4.40 states/eV/f.u.
- ΔE_f: 0.6622 eV/atom
- E_tot: -9.19 eV per atom

Structure (Quantum ESPRESSO input):
```
&SYSTEM
  ibrav = 0, nat = 4, ntyp = 3
/
ATOMIC_SPECIES
Hf 178.49 Hf.upf
Tc 98.00 Tc.upf
V 50.94 V.upf
CELL_PARAMETERS angstrom
4.986 -1.876 -2.905
-1.397 5.140 2.905
-3.575 0.326 4.891
ATOMIC_POSITIONS crystal
Hf 0.000 0.745 0.745
Hf 0.000 0.255 0.255
Tc 0.000 0.500 0.500
V 0.000 0.000 0.000
```



Entry 9:
The following is a DFT calculation (PBE-GGA) of a relaxed Mg5SnPb8 crystal. Values from VASP.

Summary:
- Space group: No. 82
- Mass density: 7.734 g/cm³
- DOS at the Fermi energy: 5.69 states/eV/f.u.
- ΔE_f: 0.0263 eV/atom
- E_tot: -2.95 eV per atom

Structure (Quantum ESPRESSO input):
```
&SYSTEM
  ibrav = 0, nat = 14, ntyp = 3
/
ATOMIC_SPECIES
Mg 24.30 Mg.upf
Pb 207.20 Pb.upf
Sn 118.71 Sn.upf
CELL_PARAMETERS angstrom
-6.880 -2.442 3.502
5.285 -6.120 0.415
3.333 6.392 3.688
ATOMIC_POSITIONS crystal
Mg 0.272 0.053 0.990
Mg 0.010 0.283 0.063
Mg 0.780 0.717 0.728
Mg 0.937 0.947 0.220
Mg 0.500 0.000 0.500
Pb 0.568 0.940 0.888
Pb 0.528 0.604 0.247
Pb 0.753 0.281 0.357
Pb 0.076 0.719 0.472
Pb 0.643 0.396 0.924
Pb 0.372 0.320 0.432
Pb 0.948 0.060 0.628
Pb 0.112 0.680 0.052
Sn 0.250 0.500 0.750
```



Entry 10:
The following is a DFT calculation (PBE-GGA) of a relaxed PrDyRhBr crystal. Values from VASP.

Summary:
- Space group: No. 160
- Raw formation energy: -1.0639 eV per atom
- Mass density: 7.223 g/cm³
- DOS at the Fermi energy: 0.32 states/eV/f.u.
- E_tot: -5.67 eV per atom

Structure (Quantum ESPRESSO input):
```
&SYSTEM
  ibrav = 0, nat = 4, ntyp = 4
/
ATOMIC_SPECIES
Pr 140.91 Pr.upf
Rh 102.91 Rh.upf
Dy 162.50 Dy.upf
Br 79.90 Br.upf
CELL_PARAMETERS angstrom
4.054 -0.001 0.000
-2.027 3.511 0.000
-2.027 -1.169 7.854
ATOMIC_POSITIONS crystal
Pr 0.507 0.151 0.674
Rh 0.310 0.553 0.879
Dy 0.098 0.947 0.061
Br 0.962 0.379 0.356
```



Entry 11:
The following is a DFT calculation (PBE-GGA) of a relaxed La2ZnCrW crystal. Values from VASP.

Summary:
- Space group: No. 123
- Mass density: 7.791 g/cm³
- DOS at the Fermi energy: 8.69 states/eV/f.u.
- ΔE_f: 1.2414 eV/atom
- E_tot: -5.50 eV per atom

Structure (Quantum ESPRESSO input):
```
&SYSTEM
  ibrav = 0, nat = 5, ntyp = 4
/
ATOMIC_SPECIES
Zn 65.41 Zn.upf
La 138.91 La.upf
W 183.84 W.upf
Cr 52.00 Cr.upf
CELL_PARAMETERS angstrom
5.124 0.000 0.000
0.000 4.701 0.000
0.000 0.000 5.124
ATOMIC_POSITIONS crystal
Zn 0.000 0.500 0.000
La 0.000 0.000 0.500
La 0.500 0.000 0.000
W 0.500 0.500 0.500
Cr 0.000 0.000 0.000
```



Entry 12:
The following is a DFT calculation (PBE-GGA) of a relaxed Ca2Ni2Rh crystal. Values from VASP.

Summary:
- Space group: No. 127
- Mass density: 5.372 g/cm³
- DOS at the Fermi energy: 4.66 states/eV/f.u.
- ΔE_f: -0.1371 eV/atom
- E_tot: -4.72 eV per atom

Structure (Quantum ESPRESSO input):
```
&SYSTEM
  ibrav = 0, nat = 10, ntyp = 3
/
ATOMIC_SPECIES
Ni 58.69 Ni.upf
Rh 102.91 Rh.upf
Ca 40.08 Ca.upf
CELL_PARAMETERS angstrom
6.529 0.000 0.000
0.000 6.529 0.000
0.000 0.000 4.358
ATOMIC_POSITIONS crystal
Ni 0.625 0.125 0.000
Ni 0.875 0.625 0.000
Ni 0.125 0.375 0.000
Ni 0.375 0.875 0.000
Rh 0.500 0.500 0.000
Rh 0.000 0.000 0.000
Ca 0.316 0.184 0.500
Ca 0.816 0.316 0.500
Ca 0.684 0.816 0.500
Ca 0.184 0.684 0.500
```



Entry 13:
The following is a DFT calculation (PBE-GGA) of a relaxed PrIn5Cl8 crystal. Values from VASP.

Summary:
- Space group: No. 82
- Raw formation energy: -1.2305 eV per atom
- Mass density: 3.902 g/cm³
- DOS at the Fermi energy: 0.00 states/eV/f.u.
- E_tot: -3.61 eV per atom

Structure (Quantum ESPRESSO input):
```
&SYSTEM
  ibrav = 0, nat = 14, ntyp = 3
/
ATOMIC_SPECIES
In 114.82 In.upf
Cl 35.45 Cl.upf
Pr 140.91 Pr.upf
CELL_PARAMETERS angstrom
7.728 0.393 -2.743
-3.743 6.773 -2.743
-0.218 -0.393 8.198
ATOMIC_POSITIONS crystal
In 0.855 0.228 0.836
In 0.500 0.500 0.000
In 0.772 0.608 0.627
In 0.981 0.145 0.373
In 0.392 0.019 0.164
Cl 0.622 0.904 0.860
Cl 0.833 0.445 0.266
Cl 0.238 0.378 0.282
Cl 0.434 0.167 0.613
Cl 0.555 0.821 0.387
Cl 0.096 0.955 0.718
Cl 0.045 0.762 0.140
Cl 0.179 0.566 0.734
Pr 0.250 0.750 0.500
```



Entry 14:
The following is a DFT calculation (PBE-GGA) of a relaxed Pm12NdEr7 crystal. Values from VASP.

Summary:
- Space group: No. 148
- Mass density: 7.547 g/cm³
- DOS at the Fermi energy: 34.98 states/eV/f.u.
- ΔE_f: 0.1567 eV/atom
- E_tot: -4.53 eV per atom

Structure (Quantum ESPRESSO input):
```
&SYSTEM
  ibrav = 0, nat = 20, ntyp = 3
/
ATOMIC_SPECIES
Pm 145.00 Pm.upf
Nd 144.24 Nd.upf
Er 167.26 Er.upf
CELL_PARAMETERS angstrom
-8.011 2.334 4.304
5.139 -5.053 6.018
4.690 7.920 -1.851
ATOMIC_POSITIONS crystal
Pm 0.625 0.777 0.330
Pm 0.050 0.297 0.408
Pm 0.703 0.592 0.950
Pm 0.777 0.330 0.625
Pm 0.592 0.950 0.703
Pm 0.375 0.223 0.670
Pm 0.950 0.703 0.592
Pm 0.297 0.408 0.050
Pm 0.223 0.670 0.375
Pm 0.670 0.375 0.223
Pm 0.408 0.050 0.297
Pm 0.330 0.625 0.777
Nd 0.000 0.000 0.000
Er 0.500 0.500 0.500
Er 0.009 0.895 0.321
Er 0.321 0.009 0.895
Er 0.991 0.105 0.679
Er 0.679 0.991 0.105
Er 0.895 0.321 0.009
Er 0.105 0.679 0.991
```



Entry 15:
The following is a DFT calculation (PBE-GGA) of a relaxed ZnIn2Cl crystal. Values from VASP.

Summary:
- Space group: No. 8
- Raw formation energy: -0.2440 eV per atom
- Mass density: 5.605 g/cm³
- DOS at the Fermi energy: 1.39 states/eV/f.u.
- E_tot: -2.39 eV per atom

Structure (Quantum ESPRESSO input):
```
&SYSTEM
  ibrav = 0, nat = 4, ntyp = 3
/
ATOMIC_SPECIES
In 114.82 In.upf
Zn 65.41 Zn.upf
Cl 35.45 Cl.upf
CELL_PARAMETERS angstrom
-0.300 -5.730 -1.447
2.317 -4.528 -3.025
3.029 -1.196 4.111
ATOMIC_POSITIONS crystal
In 0.000 0.000 0.125
In 0.756 0.756 0.626
Zn 0.498 0.498 0.624
Cl 0.245 0.245 0.125
```



Entry 16:
The following is a DFT calculation (PBE-GGA) of a relaxed NaInPO2 crystal. Values from VASP.

Summary:
- Space group: No. 123
- Raw formation energy: -0.1464 eV per atom
- Mass density: 3.473 g/cm³
- DOS at the Fermi energy: 2.98 states/eV/f.u.
- E_tot: -4.02 eV per atom

Structure (Quantum ESPRESSO input):
```
&SYSTEM
  ibrav = 0, nat = 5, ntyp = 4
/
ATOMIC_SPECIES
Na 22.99 Na.upf
In 114.82 In.upf
O 16.00 O.upf
P 30.97 P.upf
CELL_PARAMETERS angstrom
4.272 0.000 0.000
0.000 4.272 0.000
0.000 0.000 5.260
ATOMIC_POSITIONS crystal
Na 0.500 0.500 0.500
In 0.000 0.000 0.000
O 0.500 0.000 0.000
O 0.000 0.500 0.000
P 0.000 0.000 0.500
```



Entry 17:
The following is a DFT calculation (PBE-GGA) of a relaxed MnCoSb crystal. Values from VASP.

Summary:
- Space group: No. 216
- Raw formation energy: 0.3141 eV per atom
- Mass density: 7.355 g/cm³
- DOS at the Fermi energy: 1.91 states/eV/f.u.
- E_tot: -6.49 eV per atom

Structure (Quantum ESPRESSO input):
```
&SYSTEM
  ibrav = 0, nat = 3, ntyp = 3
/
ATOMIC_SPECIES
Mn 54.94 Mn.upf
Co 58.93 Co.upf
Sb 121.76 Sb.upf
CELL_PARAMETERS angstrom
4.221 0.000 0.000
2.111 3.656 0.000
2.111 1.219 3.447
ATOMIC_POSITIONS crystal
Mn 0.500 0.500 0.500
Co 0.000 0.000 0.000
Sb 0.750 0.750 0.750
```



Entry 18:
The following is a DFT calculation (PBE-GGA) of a relaxed NbGaAg2H crystal. Values from VASP.

Summary:
- Space group: No. 123
- Mass density: 5.594 g/cm³
- DOS at the Fermi energy: 4.24 states/eV/f.u.
- E_tot: -3.13 eV per atom

Structure (Quantum ESPRESSO input):
```
&SYSTEM
  ibrav = 0, nat = 5, ntyp = 4
/
ATOMIC_SPECIES
Ga 69.72 Ga.upf
H 1.01 H.upf
Nb 92.91 Nb.upf
Ag 107.87 Ag.upf
CELL_PARAMETERS angstrom
4.769 0.000 0.000
0.000 4.951 0.000
0.000 0.000 4.769
ATOMIC_POSITIONS crystal
Ga 0.000 0.000 0.000
H 0.500 0.500 0.500
Nb 0.000 0.500 0.000
Ag 0.000 0.000 0.500
Ag 0.500 0.000 0.000
```